A:
This record from the Alexandria database describes a relaxed PmTl4 crystal. The functional is PBE.

Cell lengths 6.039, 6.039, 6.039 Å; angles 90.00, 90.00, 90.00 degrees
Element x y z (fractional)
Pm (0.000, 0.000, 0.000)
Tl (0.000, 0.000, 0.500)
Tl (0.000, 0.500, 0.000)
Tl (0.500, 0.000, 0.000)
Tl (0.500, 0.500, 0.500)

Properties
M_tot   0.00 μB per cell
Volume   220.3 Å³/f.u.
DOS(E_F)   4.7 states/eV/cell

=====

B:
This record from the Alexandria database describes a relaxed PmTl4 crystal. The functional is PBE.

Cell lengths 9.396, 9.396, 9.396 Å; angles 148.38, 137.94, 53.56 degrees
Element x y z (fractional)
Pm (0.338, 0.088, 0.250)
Pm (0.662, 0.912, 0.750)
Tl (0.000, 0.500, 0.500)
Tl (0.138, 0.888, 0.250)
Tl (0.207, 0.697, 0.510)
Tl (0.313, 0.303, 0.010)
Tl (0.500, 0.500, 0.000)
Tl (0.687, 0.697, 0.990)
Tl (0.793, 0.303, 0.490)
Tl (0.862, 0.112, 0.750)

Properties
M_tot   0.00 μB per cell
Volume   144.8 Å³/f.u.
DOS(E_F)   4.4 states/eV/cell

=====

The structure with the most favorable energy is B; the runner-up is 562 meV per atom above it.